(1)
DFT (PBE+U) results for a relaxed structure of DyAgMo2O8.

## Properties
Crystal system   trigonal

Structure (POSCAR):
```
DyAgMo2O8
1.0
6.061 0.000 0.000
-3.031 5.249 0.000
0.000 0.000 6.658
Dy O Ag Mo
1 8 1 2
direct
0.000 0.000 0.500
0.831 0.169 0.289
0.169 0.337 0.711
0.667 0.333 0.942
0.169 0.831 0.711
0.831 0.663 0.289
0.333 0.667 0.058
0.663 0.831 0.711
0.337 0.169 0.289
0.000 0.000 0.000
0.667 0.333 0.203
0.333 0.667 0.797
```

(2)
DFT (PBE+U) results for a relaxed structure of DyAgMoO5.

## Properties
Crystal system   monoclinic

Structure (POSCAR):
```
DyAgMoO5
1.0
6.238 0.765 -0.131
-1.089 6.190 -0.131
-2.286 -3.088 7.542
O Mo Dy Ag
10 2 2 2
direct
0.671 0.716 0.853
0.329 0.284 0.147
0.284 0.329 0.647
0.936 0.064 0.750
0.716 0.671 0.353
0.238 0.745 0.917
0.255 0.762 0.583
0.745 0.238 0.417
0.762 0.255 0.083
0.064 0.936 0.250
0.638 0.362 0.250
0.362 0.638 0.750
0.000 0.000 0.000
0.000 0.000 0.500
0.703 0.297 0.750
0.297 0.703 0.250
```

Final energy for the records above, in order: -83.53, -109.14 eV/cell
Density of states at the Fermi level for the records above, in order: 0.0, 0.0 states/eV/cell